1.
The following is a PBE calculation of a relaxed structure of SmYCuSn, from Alexandria via LeMat-Bulk.

Results
- Formation enthalpy at 0 K: -441 meV/atom
- Magnetization: 0.000 μB per atom

Cell: 7.362 7.362 7.362 Å, 90.00 90.00 90.00°
Fractional positions:
Sm (0.000, 0.000, 0.000)
Sm (0.000, 0.500, 0.500)
Sm (0.500, 0.000, 0.500)
Sm (0.500, 0.500, 0.000)
Y (0.000, 0.000, 0.500)
Y (0.000, 0.500, 0.000)
Y (0.500, 0.000, 0.000)
Y (0.500, 0.500, 0.500)
Cu (0.250, 0.250, 0.750)
Cu (0.250, 0.750, 0.250)
Cu (0.750, 0.250, 0.250)
Cu (0.750, 0.750, 0.750)
Sn (0.250, 0.250, 0.250)
Sn (0.250, 0.750, 0.750)
Sn (0.750, 0.250, 0.750)
Sn (0.750, 0.750, 0.250)

---

2.
The following is a PBE calculation of a relaxed structure of U2Se2O, from Alexandria via LeMat-Bulk.

Results
- Relative energy among the computed polymorphs: 171 meV per atom
- Uncorrected formation energy: -1.559 eV per atom
- Magnetization: 1.199 μB per atom

Cell: 3.709 5.689 11.099 Å, 90.00 90.00 90.00°
Fractional positions:
U (0.000, 0.000, 0.136)
U (0.000, 0.000, 0.864)
U (0.500, 0.500, 0.364)
U (0.500, 0.500, 0.636)
Se (0.000, 0.500, 0.165)
Se (0.000, 0.500, 0.835)
Se (0.500, 0.000, 0.335)
Se (0.500, 0.000, 0.665)
O (0.000, 0.500, 0.500)
O (0.500, 0.000, 0.000)

---

3.
The following is a PBE calculation of a relaxed structure of Na2ErSc3Se6, from Alexandria via LeMat-Bulk.

Results
- Uncorrected formation energy: -1.616 eV per atom
- Magnetization: 0.000 μB per atom

Cell: 6.841 6.841 7.026 Å, 99.35 99.35 119.95°
Fractional positions:
Na (0.166, 0.834, 0.000)
Na (0.834, 0.166, 0.000)
Er (0.500, 0.500, 0.000)
Sc (0.000, 0.000, 0.500)
Sc (0.332, 0.668, 0.500)
Sc (0.668, 0.332, 0.500)
Se (0.083, 0.412, 0.735)
Se (0.261, 0.261, 0.267)
Se (0.412, 0.083, 0.735)
Se (0.588, 0.917, 0.265)
Se (0.739, 0.739, 0.733)
Se (0.917, 0.588, 0.265)

---

4.
The following is a PBE calculation of a relaxed structure of Cs3AsCl, from Alexandria via LeMat-Bulk.

Results
- Uncorrected formation energy: -0.716 eV per atom
- Magnetization: 0.200 μB per atom

Cell: 6.510 6.510 6.510 Å, 90.00 90.00 90.00°
Fractional positions:
Cs (0.000, 0.000, 0.500)
Cs (0.000, 0.500, 0.000)
Cs (0.500, 0.000, 0.000)
As (0.500, 0.500, 0.500)
Cl (0.000, 0.000, 0.000)

---

5.
The following is a PBE calculation of a relaxed structure of Sb2PAu, from Alexandria via LeMat-Bulk.

Results
- Uncorrected formation energy: 0.317 eV per atom
- Magnetization: 0.000 μB per atom

Cell: 3.441 3.441 7.291 Å, 90.00 90.00 90.00°
Fractional positions:
Sb (0.000, 0.000, 0.229)
Sb (0.000, 0.000, 0.771)
P (0.500, 0.500, 0.000)
Au (0.500, 0.500, 0.500)

---

6.
The following is a PBE calculation of a relaxed structure of Li2CoCI, from Alexandria via LeMat-Bulk.

Results
- Uncorrected formation energy: 1.628 eV per atom
- Magnetization: 0.531 μB per atom

Cell: 5.169 5.169 4.344 Å, 90.00 90.00 90.00°
Fractional positions:
Li (0.000, 0.500, 0.000)
Li (0.500, 0.000, 0.000)
Co (0.000, 0.000, 0.500)
C (0.500, 0.500, 0.500)
I (0.500, 0.500, 0.000)

---

7.
The following is a PBE calculation of a relaxed structure of K3LaNb, from Alexandria via LeMat-Bulk.

Results
- Formation enthalpy at 0 K: 1875 meV/atom
- Magnetization: 0.255 μB per atom

Cell: 6.600 6.600 6.600 Å, 90.00 90.00 90.00°
Fractional positions:
K (0.000, 0.000, 0.500)
K (0.000, 0.500, 0.000)
K (0.500, 0.000, 0.000)
La (0.000, 0.000, 0.000)
Nb (0.500, 0.500, 0.500)

---

8.
The following is a PBE calculation of a relaxed structure of YErCuAg, from Alexandria via LeMat-Bulk.

Results
- Relative energy among the computed polymorphs: 0 meV per atom
- Formation enthalpy at 0 K: -293 meV/atom
- Magnetization: 0.000 μB per atom

Cell: 3.528 3.528 7.156 Å, 90.00 90.00 90.00°
Fractional positions:
Y (0.000, 0.000, 0.000)
Er (0.000, 0.000, 0.473)
Cu (0.500, 0.500, 0.246)
Ag (0.500, 0.500, 0.729)

---

9.
The following is a PBE calculation of a relaxed structure of TiAgBr4, from Alexandria via LeMat-Bulk.

Results
- Relative energy among the computed polymorphs: 204 meV per atom
- Uncorrected formation energy: -0.670 eV per atom
- Magnetization: 0.165 μB per atom

Cell: 7.684 7.684 8.703 Å, 90.00 90.00 90.00°
Fractional positions:
Ti (0.000, 0.500, 0.000)
Ti (0.500, 0.000, 0.500)
Ag (0.000, 0.000, 0.000)
Ag (0.000, 0.000, 0.500)
Br (0.233, 0.276, 0.000)
Br (0.233, 0.724, 0.000)
Br (0.276, 0.233, 0.500)
Br (0.276, 0.767, 0.500)
Br (0.724, 0.233, 0.500)
Br (0.724, 0.767, 0.500)
Br (0.767, 0.276, 0.000)
Br (0.767, 0.724, 0.000)

---

Sequential N(E_F) output: 0.95; 1.67; 0.36; 0.99; 0.45; 0.92; 1.73; 0.65; 0.09 states/eV per atom